# Ac7Nd2Sm2

A relaxed structure of Ac7Nd2Sm2 (PBE-GGA, the Alexandria database). Values from VASP.

Values from the calculation:
crystal system: orthorhombic
formation energy from the elements: 0.1167 eV per atom
electronic total energy: -4.22 eV per atom

```
&SYSTEM
  ibrav = 0, nat = 11, ntyp = 3
/
ATOMIC_SPECIES
Ac 227.00 Ac.upf
Nd 144.24 Nd.upf
Sm 150.36 Sm.upf
ATOMIC_POSITIONS crystal
Ac 0.000 0.000 0.000
Ac 0.168 0.326 0.842
Ac 0.181 0.539 0.641
Ac 0.483 0.326 0.158
Ac 0.495 0.128 0.368
Ac 0.760 0.128 0.632
Ac 0.898 0.539 0.359
Nd 0.030 0.831 0.200
Nd 0.631 0.831 0.800
Sm 0.328 0.828 0.500
Sm 0.600 0.600 0.000
CELL_PARAMETERS angstrom
-3.003 8.456 4.516
3.003 -8.456 4.516
3.003 8.456 -4.516
```